1.
Material: BeCdOs3
Method: DFT, PBE-GGA
State: optimized geometry

Cell lengths 4.8148, 4.8148, 4.8148 Å; angles 90.00, 90.00, 90.00 degrees
Closest atoms and distances in Å follow each position.
Positions (direct):
Be1 0.0000 0.0000 0.0000  12 Os 3.40
Cd1 0.5000 0.5000 0.5000  6 Os 2.41
Os1 0.0000 0.5000 0.5000  2 Cd 2.41
Os2 0.5000 0.0000 0.5000  2 Cd 2.41
Os3 0.5000 0.5000 0.0000  2 Cd 2.41

Properties
Crystal system = cubic
Energy of formation from the pure elements = 3.41 eV/atom
Symmetry = No. 221
Excess energy over the best structure of this formula in the dataset = 2495 meV per atom

***

2.
Material: Tl2ZnCu
Method: DFT, PBE-GGA
State: optimized geometry

Cell lengths 4.7839, 4.7839, 3.8388 Å; angles 90.00, 90.00, 90.00 degrees
Closest atoms and distances in Å follow each position.
Positions (direct):
Tl1 0.0000 0.5000 0.0000  4 Cu 3.07, 4 Zn 3.07, 4 Tl 3.38
Tl2 0.5000 0.0000 0.0000  4 Cu 3.07, 4 Zn 3.07, 4 Tl 3.38
Zn1 0.0000 0.0000 0.5000  8 Tl 3.07, 4 Cu 3.38
Cu1 0.5000 0.5000 0.5000  8 Tl 3.07, 4 Zn 3.38

Properties
Crystal system = tetragonal
Energy of formation from the pure elements = 0.29 eV/atom
Symmetry = No. 123
Excess energy over the best structure of this formula in the dataset = 150 meV per atom

***

3.
Material: LaH2RhBr
Method: DFT, PBE-GGA
State: optimized geometry

Cell lengths 4.2565, 4.2565, 6.0064 Å; angles 90.00, 90.00, 90.00 degrees
Closest atoms and distances in Å follow each position.
Positions (direct):
La1 0.0000 0.0000 0.0000  4 H 2.13
H1 0.0000 0.5000 0.0000  2 La 2.13
H2 0.5000 0.0000 0.0000  2 La 2.13
Rh1 0.5000 0.5000 0.5000  4 Br 3.01
Br1 0.0000 0.0000 0.5000  2 La 3.00, 4 Rh 3.01

Properties
Crystal system = tetragonal
Symmetry = No. 123

***

4.
Material: Pr2YEr3S6
Method: DFT, PBE-GGA
State: optimized geometry

Cell lengths 8.8722, 8.8722, 8.0016 Å; angles 104.08, 104.08, 25.52 degrees
Closest atoms and distances in Å follow each position.
Positions (direct):
Pr1 0.1675 0.1675 0.3350  6 S 2.88-2.90
Pr2 0.8325 0.8325 0.6650  6 S 2.88-2.90
Y1 0.5000 0.5000 0.0000  6 S 2.80-2.82
Er1 0.1687 0.1687 0.8334  6 S 2.71-2.76
Er2 0.5000 0.5000 0.5000  6 S 2.70-2.78
Er3 0.8313 0.8313 0.1666  6 S 2.71-2.76
S1 0.0054 0.0054 0.7490  3 Er 2.74-2.78, 2 Y 2.82, 1 Pr 2.90
S2 0.3331 0.3331 0.9317  3 Er 2.72-2.76, 1 Y 2.80, 2 Pr 2.90
S3 0.3388 0.3388 0.4040  3 Er 2.70-2.71, 3 Pr 2.88-2.89
S4 0.6612 0.6612 0.5960  3 Er 2.70-2.71, 3 Pr 2.88-2.89
S5 0.6669 0.6669 0.0683  3 Er 2.72-2.76, 1 Y 2.80, 2 Pr 2.90
S6 0.9946 0.9946 0.2510  3 Er 2.74-2.78, 2 Y 2.82, 1 Pr 2.90

Properties
Crystal system = monoclinic
Symmetry = No. 12
Energy relative to the elements, uncorrected = -1985 meV/atom

***

The calculation returns the following E_tot values, one per record and in order: -21.26, -8.94, -19.93, -78.30 eV/cell.
The calculation returns the following M_tot values, one per record and in order: 4.6, 0.0, 1.0, 0.0 Bohr magnetons per cell.
The calculation returns the following N(E_F) values, one per record and in order: 1.59, 0.28, 0.69, 0.40 states/eV per atom.